No. 1
This record from Alexandria via LeMat-Bulk describes crystalline RbBiO2 at its relaxed geometry. The functional is PBE-GGA.

Cell: 6.358 6.358 6.629 Å, 61.34 61.34 90.00°
Positions (direct):
Bi  0.750  0.250  0.500
Rb  0.500  0.500  0.000
Bi  0.000  0.000  0.000
O  0.040  0.625  0.250
O  0.710  0.125  0.250
O  0.875  0.960  0.750
O  0.375  0.290  0.750
Rb  0.250  0.750  0.500

Results
The calculation puts the calculated total energy at -4.93 eV/atom.



No. 2
This record from Alexandria via LeMat-Bulk describes crystalline Rb3BiO at its relaxed geometry. The functional is PBE-GGA.

Cell: 5.746 5.746 5.746 Å, 90.00 90.00 90.00°
Positions (direct):
Rb  0.000  0.500  0.000
Rb  0.500  0.000  0.000
O  0.000  0.000  0.000
Bi  0.500  0.500  0.500
Rb  0.000  0.000  0.500

Results
The calculation puts the calculated total energy at -2.84 eV/atom.